Compound: NbFe2CoO6
Source: the Alexandria database
Functional: PBE+U
Structure: relaxed

Summary:
**SG**: P1
**Crystal system**: triclinic
**Calculated total energy**: -71.896 eV/cell

Cell lengths 5.1847, 5.1467, 5.5785 Å; angles 63.62, 62.46, 59.71 degrees
Last column: magnetic moment on the atom in μB.
Positions (direct):
1 Nb 0.3175 0.3132 0.0474  0.09
2 Fe 0.5221 0.5229 0.4361  3.75
3 Fe 0.0121 0.0124 0.9630  1.22
4 Co 0.8073 0.7995 0.5851  2.69
5 O 0.6083 0.2258 0.2340  0.01
6 O 0.2157 0.9407 0.2301  0.01
7 O 0.9382 0.6194 0.2344  0.01
8 O 0.3966 0.7270 0.7555  0.03
9 O 0.7351 0.1074 0.7633  0.02
10 O 0.1086 0.3933 0.7665  0.03